Record 1
VASP calculation (PBEsol) on a relaxed IrPtW2 crystal.

Cell: 4.8429 4.8429 2.7274 Å, 90.00 90.00 111.64°
With the nearest neighbours (Å) after each atom.
Atoms (fractional coordinates):
Ir 0.0000 0.0000 0.0000  2 Pt 2.72, 2 Ir 2.73, 8 W 2.78
Pt 0.5000 0.5000 0.0000  2 Ir 2.72, 2 Pt 2.73, 8 W 2.78
W 0.0000 0.5000 0.5000  4 W 2.72-2.73, 4 Ir 2.78, 4 Pt 2.78
W 0.5000 0.0000 0.5000  4 W 2.72-2.73, 4 Ir 2.78, 4 Pt 2.78

Polymorph energy (0 for the lowest one) = 53 meV/atom
DOS(E_F) = 1.79 states/eV/f.u.
Raw total energy = -11.353 eV per atom
Formation energy = -253 meV per atom

Record 2
VASP calculation (PBEsol) on a relaxed IrPt2W crystal.

Cell: 2.7543 2.7543 7.8567 Å, 90.00 90.00 90.00°
With the nearest neighbours (Å) after each atom.
Atoms (fractional coordinates):
Ir 0.0000 0.0000 0.0000  4 W 2.67, 4 Ir 2.75, 4 Pt 2.81
Pt 0.0000 0.0000 0.5216  4 W 2.74, 8 Pt 2.75-2.85
Pt 0.5000 0.5000 0.2571  8 Pt 2.75-2.85, 4 Ir 2.81
W 0.5000 0.5000 0.7675  4 Ir 2.67, 4 Pt 2.74, 4 W 2.75

Polymorph energy (0 for the lowest one) = 33 meV/atom
DOS(E_F) = 2.55 states/eV/f.u.
Raw total energy = -9.610 eV per atom
Formation energy = -220 meV per atom

Record 3
VASP calculation (PBEsol) on a relaxed IrPtW2 crystal.

Cell: 2.7453 4.4498 4.8665 Å, 90.00 90.00 90.00°
With the nearest neighbours (Å) after each atom.
Atoms (fractional coordinates):
Ir 0.0000 0.0000 0.0000  8 W 2.73-2.80, 2 Ir 2.75, 2 Pt 2.78
Pt 0.0000 0.5000 0.6591  8 W 2.73-2.80, 2 Pt 2.75, 2 Ir 2.78
W 0.5000 0.0000 0.4978  4 Pt 2.73, 4 W 2.75-2.77, 4 Ir 2.78-2.80
W 0.5000 0.5000 0.1603  4 Ir 2.73, 4 W 2.75-2.77, 4 Pt 2.79-2.80

Polymorph energy (0 for the lowest one) = 0 meV/atom
DOS(E_F) = 1.92 states/eV/f.u.
Raw total energy = -11.406 eV per atom
Formation energy = -305 meV per atom